Record 1
Below is a geometry-optimized CaLaCe structure, with properties calculated at the PBE-GGA level.

Geometry as extended XYZ:
```
6
Lattice="-3.252 1.511 1.353 -0.556 0.277 3.782 5.952 16.207 1.629" Properties=species:S:1:pos:R:3 pbc="T T T"
Ca -0.877 8.124 5.101
Ce -2.206 1.913 3.419
La 0.296 3.981 1.694
La 1.848 14.015 5.070
Ca 3.021 9.872 1.663
Ce 4.350 16.083 3.345
```

- space group = No. 166
- calculated volume (A^3/atom) = 36.46

=====

Record 2
Below is a geometry-optimized CaLaCeMg structure, with properties calculated at the PBE-GGA level.

Geometry as extended XYZ:
```
4
Lattice="-2.484 -1.987 -4.731 3.201 -1.919 -4.310 0.154 -5.577 -1.173" Properties=species:S:1:pos:R:3 pbc="T T T"
Mg 0.000 0.000 0.000
Ce 0.435 -4.742 -5.107
Ca 0.218 -2.371 -2.553
La 0.653 -7.112 -7.660
```

- space group = No. 216
- calculated volume (A^3/atom) = 32.75

=====

Number 1: calculated total energy -4.18 eV/atom. Number 2: calculated total energy -3.42 eV/atom.